P) First-principles (GGA-PBE) data for an optimized crystal structure of TaInSi3, as listed in Alexandria via LeMat-Bulk.

## Properties
density of states at the Fermi level: 1.262 states/eV/atom
calculated density: 5380 kg/m³
spin magnetization: 0.00 μB per formula unit

Cell lengths 4.8952, 4.8952, 4.8952 Å; angles 90.00, 90.00, 90.00 degrees
Sites, in units of the cell vectors:
1 Ta 0.5000 0.5000 0.5000
2 Si 0.0000 0.5000 0.0000
3 Si 0.0000 0.0000 0.5000
4 Si 0.5000 0.0000 0.0000
5 In 0.0000 0.0000 0.0000

=====

Q) First-principles (GGA-PBE) data for an optimized crystal structure of TaInSi3, as listed in Alexandria via LeMat-Bulk.

## Properties
density of states at the Fermi level: 0.529 states/eV/atom
calculated density: 5215 kg/m³
spin magnetization: 0.00 μB per formula unit

Cell lengths 4.9463, 4.9463, 4.9463 Å; angles 90.00, 90.00, 90.00 degrees
Sites, in units of the cell vectors:
1 Si 0.0000 0.0000 0.5000
2 Si 0.5000 0.0000 0.0000
3 In 0.5000 0.5000 0.5000
4 Ta 0.0000 0.0000 0.0000
5 Si 0.0000 0.5000 0.0000

=====

Which is most stable? The ranking, best first, is Q), P).